A geometry-optimized Y4GeP3 structure, computed with PBE-GGA.

Results
formation enthalpy at 0 K: -1.36 eV per atom
size of the total moment: 0.0 μB per formula unit
V: 23.47 Å³/atom

a = 5.7261 Å, b = 5.7261 Å, c = 5.7261 Å
α = 90.00°, β = 90.00°, γ = 90.00°
Space group Pm-3m (No. 221)
Unique sites:
Y1 0.0000 0.0000 0.0000
Y2 0.0000 0.5000 0.5000
Ge1 0.5000 0.5000 0.5000
P1 0.0000 0.0000 0.5000